(1)
CdPbW2 PBE optimized geometry; calculated total energy = -6.65 eV/atom; symmetry = Immm (71); density of states at the Fermi level = 0.69 states/eV/atom; V = 76.5 Å³ per cell; excess energy over the best structure of this formula in the dataset = 470 meV/atom; ΔH_f (0 K) = 986.3 meV per atom
1.0
-1.6537 2.4088 4.8018
1.6537 -2.4088 4.8018
1.6537 2.4088 -4.8018
Cd Pb W
1 1 2
Cartesian
0.0000 0.0000 0.0000
0.0000 0.0000 4.8018
1.6537 0.0000 2.4417
0.0000 2.4088 2.3601

(2)
CdPbW2 PBE optimized geometry; calculated total energy = -6.50 eV/atom; symmetry = P4/mmm (123); density of states at the Fermi level = 0.72 states/eV/atom; V = 78.2 Å³ per cell; excess energy over the best structure of this formula in the dataset = 621 meV/atom; ΔH_f (0 K) = 1137.4 meV per atom
1.0
2.8668 0.0000 0.0000
0.0000 2.8668 0.0000
0.0000 0.0000 9.5126
Cd Pb W
1 1 2
Cartesian
0.0000 0.0000 0.0000
0.0000 0.0000 4.7563
1.4334 1.4334 2.2684
1.4334 1.4334 7.2442

(3)
ZnCdPbW2 PBE optimized geometry; calculated total energy = -4.71 eV/atom; symmetry = P4/mmm (123); density of states at the Fermi level = 1.02 states/eV/atom; V = 109.5 Å³ per cell; ΔH_f (0 K) = 1653.4 meV per atom
1.0
4.7876 0.0000 0.0000
0.0000 4.7876 0.0000
0.0000 0.0000 4.7791
Zn Cd Pb W
1 1 1 2
Cartesian
0.0000 0.0000 0.0000
0.0000 0.0000 2.3896
2.3938 2.3938 2.3896
0.0000 2.3938 0.0000
2.3938 0.0000 0.0000